[1]
# Nd4Bi3 | Alexandria | GGA-PBEsol | relaxed
# Formation energy from the elements ... -0.88 eV per atom
data_Nd4Bi3
_chemical_formula_sum 'Nd16 Bi12'
_symmetry_space_group_name_H-M 'I -4 3 d'
_symmetry_Int_Tables_number 220
_symmetry_space_group_name_Hall 'I -4bd 2c 3'
_cell_length_a 9.542
_cell_length_b 9.542
_cell_length_c 9.542
_cell_angle_alpha 90.00
_cell_angle_beta 90.00
_cell_angle_gamma 90.00
loop_
_atom_site_label
_atom_site_fract_x
_atom_site_fract_y
_atom_site_fract_z
Nd1 0.072 0.072 0.072
Bi1 0.000 0.250 0.375

[2]
# AsIrIN2 | Alexandria | GGA-PBEsol | relaxed
# ΔE_f (raw) ... 1.719 eV/atom
data_AsIrIN2
_chemical_formula_sum 'As1 Ir1 I1 N2'
_symmetry_space_group_name_H-M 'P 4/m m m'
_symmetry_Int_Tables_number 123
_symmetry_space_group_name_Hall '-P 4 2'
_cell_length_a 3.665
_cell_length_b 3.665
_cell_length_c 7.149
_cell_angle_alpha 90.00
_cell_angle_beta 90.00
_cell_angle_gamma 90.00
loop_
_atom_site_label
_atom_site_fract_x
_atom_site_fract_y
_atom_site_fract_z
As1 0.000 0.000 0.000
Ir1 0.500 0.500 0.500
I1 0.000 0.000 0.500
N1 0.000 0.500 0.000

[3]
# MoOs3 | Alexandria | GGA-PBEsol | relaxed
# Formation energy from the elements ... -0.05 eV per atom
data_MoOs3
_chemical_formula_sum 'Mo2 Os6'
_symmetry_space_group_name_H-M 'I m m 2'
_symmetry_Int_Tables_number 44
_symmetry_space_group_name_Hall 'I 2 -2'
_cell_length_a 2.740
_cell_length_b 8.715
_cell_length_c 4.762
_cell_angle_alpha 90.00
_cell_angle_beta 90.00
_cell_angle_gamma 90.00
loop_
_atom_site_label
_atom_site_fract_x
_atom_site_fract_y
_atom_site_fract_z
Mo1 0.000 0.000 0.000
Os1 0.000 0.248 0.330
Os2 0.000 0.500 0.999

Number 1: density of states at the Fermi level 29.01 states/eV per cell. Number 2: density of states at the Fermi level 5.84 states/eV per cell. Number 3: density of states at the Fermi level 5.62 states/eV per cell.